# 1
PrGdBiI | PBE | optimized geometry

Lattice parameters (Å, degrees): 7.885 7.885 7.885 90.00 90.00 90.00
Space group F-43m (No. 216)
Inequivalent atoms, fractional coordinates:
Pr  0.000  0.000  0.000 [4 per cell]
Gd  0.000  0.000  0.500 [4 per cell]
Bi  0.250  0.250  0.250 [4 per cell]
I  0.250  0.250  0.750 [4 per cell]

Summary:
magnetic moment = 33.03 μB/cell
formation energy without anion corrections = -3.35 eV/f.u.
crystal system = cubic


# 2
GdPuBiI | PBE | optimized geometry

Lattice parameters (Å, degrees): 7.795 7.795 7.795 90.00 90.00 90.00
Space group F-43m (No. 216)
Inequivalent atoms, fractional coordinates:
Gd  0.000  0.000  0.000 [4 per cell]
Pu  0.000  0.000  0.500 [4 per cell]
Bi  0.250  0.250  0.250 [4 per cell]
I  0.250  0.250  0.750 [4 per cell]

Summary:
magnetic moment = 1.43 μB/cell
formation energy without anion corrections = -2.36 eV/f.u.
crystal system = cubic


# 3
TbGdBiI | PBE | optimized geometry

Lattice parameters (Å, degrees): 7.766 7.766 7.766 90.00 90.00 90.00
Space group F-43m (No. 216)
Inequivalent atoms, fractional coordinates:
Tb  0.000  0.000  0.000 [4 per cell]
Gd  0.000  0.000  0.500 [4 per cell]
Bi  0.250  0.250  0.750 [4 per cell]
I  0.250  0.250  0.250 [4 per cell]

Summary:
magnetic moment = 33.53 μB/cell
formation energy without anion corrections = -3.06 eV/f.u.
crystal system = cubic


# 4
GdYBiI | PBE | optimized geometry

Lattice parameters (Å, degrees): 7.768 7.768 7.768 90.00 90.00 90.00
Space group F-43m (No. 216)
Inequivalent atoms, fractional coordinates:
Gd  0.000  0.000  0.000 [4 per cell]
Y  0.000  0.000  0.500 [4 per cell]
Bi  0.250  0.250  0.250 [4 per cell]
I  0.250  0.250  0.750 [4 per cell]

Summary:
magnetic moment = 33.69 μB/cell
formation energy without anion corrections = -3.06 eV/f.u.
crystal system = cubic


# 5
GdInBi2 | PBE | optimized geometry

Lattice parameters (Å, degrees): 4.234 4.234 6.682 90.00 90.00 90.00
Space group P4/mmm (No. 123)
Inequivalent atoms, fractional coordinates:
Gd  0.000  0.000  0.000 [1 per cell]
In  0.000  0.000  0.500 [1 per cell]
Bi  0.500  0.500  0.239 [2 per cell]

Summary:
magnetic moment = 7.17 μB/cell
energy relative to the elements = -0.422 eV per atom
crystal system = tetragonal


# 6
Gd2InBi | PBE | optimized geometry

Lattice parameters (Å, degrees): 4.060 4.060 6.930 90.00 90.00 90.00
Space group P4/mmm (No. 123)
Inequivalent atoms, fractional coordinates:
Gd  0.000  0.000  0.250 [2 per cell]
In  0.500  0.500  0.000 [1 per cell]
Bi  0.500  0.500  0.500 [1 per cell]

Summary:
magnetic moment = 14.80 μB/cell
energy relative to the elements = -0.607 eV per atom
crystal system = tetragonal


# 7
Gd2InBi | PBE | optimized geometry

Lattice parameters (Å, degrees): 5.045 5.045 4.443 90.00 90.00 90.00
Space group P4/mmm (No. 123)
Inequivalent atoms, fractional coordinates:
Gd  0.000  0.500  0.000 [2 per cell]
In  0.000  0.000  0.500 [1 per cell]
Bi  0.500  0.500  0.500 [1 per cell]

Summary:
magnetic moment = 15.06 μB/cell
energy relative to the elements = -0.581 eV per atom
crystal system = tetragonal


# 8
GdIn2Bi | PBE | optimized geometry

Lattice parameters (Å, degrees): 4.677 4.677 5.012 90.00 90.00 90.00
Space group P4/mmm (No. 123)
Inequivalent atoms, fractional coordinates:
Gd  0.000  0.000  0.000 [1 per cell]
In  0.000  0.500  0.500 [2 per cell]
Bi  0.500  0.500  0.000 [1 per cell]

Summary:
magnetic moment = 6.98 μB/cell
energy relative to the elements = -0.417 eV per atom
crystal system = tetragonal


# 9
Gd2InBi | PBE | optimized geometry

Lattice parameters (Å, degrees): 7.733 7.733 7.733 90.00 90.00 90.00
Space group Fm-3m (No. 225)
Inequivalent atoms, fractional coordinates:
Gd  0.250  0.250  0.250 [8 per cell]
In  0.000  0.000  0.000 [4 per cell]
Bi  0.000  0.000  0.500 [4 per cell]

Summary:
magnetic moment = 59.37 μB/cell
energy relative to the elements = -0.509 eV per atom
crystal system = cubic


# 10
GdInBi2 | PBE | optimized geometry

Lattice parameters (Å, degrees): 7.861 7.861 7.861 90.00 90.00 90.00
Space group Fm-3m (No. 225)
Inequivalent atoms, fractional coordinates:
Gd  0.000  0.000  0.000 [4 per cell]
In  0.000  0.000  0.500 [4 per cell]
Bi  0.250  0.250  0.250 [8 per cell]

Summary:
magnetic moment = 28.55 μB/cell
energy relative to the elements = -0.252 eV per atom
crystal system = cubic


# 11
Gd2InBi | PBE | optimized geometry

Lattice parameters (Å, degrees): 4.2477 4.2477 24.4051 90.00 90.00 120.00
Space group R-3m (No. 166, hexagonal axes)
Inequivalent atoms, fractional coordinates:
Gd  0.0000  0.0000  0.2468 [6 per cell]
In  0.0000  0.0000  0.0000 [3 per cell]
Bi  0.0000  0.0000  0.5000 [3 per cell]

Summary:
magnetic moment = 43.10 μB/cell
energy relative to the elements = -0.527 eV per atom
crystal system = trigonal


# 12
GdInBi2 | PBE | optimized geometry

Lattice parameters (Å, degrees): 3.4653 3.4653 37.6775 90.00 90.00 120.00
Space group R-3m (No. 166, hexagonal axes)
Inequivalent atoms, fractional coordinates:
Gd  0.0000  0.0000  0.0000 [3 per cell]
In  0.0000  0.0000  0.5000 [3 per cell]
Bi  0.0000  0.0000  0.0853 [6 per cell]

Summary:
magnetic moment = 21.94 μB/cell
energy relative to the elements = 0.090 eV per atom
crystal system = trigonal


# 13
GdIn4Bi | PBE | optimized geometry

Lattice parameters (Å, degrees): 8.702 8.702 8.702 90.00 90.00 90.00
Space group F-43m (No. 216)
Inequivalent atoms, fractional coordinates:
Gd  0.000  0.000  0.000 [4 per cell]
In  0.125  0.125  0.375 [16 per cell]
Bi  0.250  0.250  0.750 [4 per cell]

Summary:
magnetic moment = 29.57 μB/cell
energy relative to the elements = -0.106 eV per atom
crystal system = cubic


# 14
GdIn2Bi | PBE | optimized geometry

Lattice parameters (Å, degrees): 3.4816 3.4816 35.8481 90.00 90.00 120.00
Space group R-3m (No. 166, hexagonal axes)
Inequivalent atoms, fractional coordinates:
Gd  0.0000  0.0000  0.0000 [3 per cell]
In  0.0000  0.0000  0.0888 [6 per cell]
Bi  0.0000  0.0000  0.5000 [3 per cell]

Summary:
magnetic moment = 22.96 μB/cell
energy relative to the elements = 0.132 eV per atom
crystal system = trigonal


# 15
LiGdInBi | PBE | optimized geometry

Lattice parameters (Å, degrees): 7.525 7.525 7.525 90.00 90.00 90.00
Space group F-43m (No. 216)
Inequivalent atoms, fractional coordinates:
Li  0.000  0.000  0.000 [4 per cell]
Gd  0.000  0.000  0.500 [4 per cell]
In  0.250  0.250  0.750 [4 per cell]
Bi  0.250  0.250  0.250 [4 per cell]

Summary:
magnetic moment = 28.04 μB/cell
energy relative to the elements = -0.390 eV per atom
crystal system = cubic


# 16
GdMgInBi | PBE | optimized geometry

Lattice parameters (Å, degrees): 7.590 7.590 7.590 90.00 90.00 90.00
Space group F-43m (No. 216)
Inequivalent atoms, fractional coordinates:
Gd  0.000  0.000  0.000 [4 per cell]
Mg  0.000  0.000  0.500 [4 per cell]
In  0.250  0.250  0.750 [4 per cell]
Bi  0.250  0.250  0.250 [4 per cell]

Summary:
magnetic moment = 28.91 μB/cell
energy relative to the elements = -0.288 eV per atom
crystal system = cubic


# 17
NaGdInBi | PBE | optimized geometry

Lattice parameters (Å, degrees): 7.713 7.713 7.713 90.00 90.00 90.00
Space group F-43m (No. 216)
Inequivalent atoms, fractional coordinates:
Na  0.000  0.000  0.000 [4 per cell]
Gd  0.000  0.000  0.500 [4 per cell]
In  0.250  0.250  0.750 [4 per cell]
Bi  0.250  0.250  0.250 [4 per cell]

Summary:
magnetic moment = 28.45 μB/cell
energy relative to the elements = -0.338 eV per atom
crystal system = cubic


# 18
NdGdInBi | PBE | optimized geometry

Lattice parameters (Å, degrees): 7.809 7.809 7.809 90.00 90.00 90.00
Space group F-43m (No. 216)
Inequivalent atoms, fractional coordinates:
Nd  0.000  0.000  0.000 [4 per cell]
Gd  0.000  0.000  0.500 [4 per cell]
In  0.250  0.250  0.750 [4 per cell]
Bi  0.250  0.250  0.250 [4 per cell]

Summary:
magnetic moment = 29.77 μB/cell
energy relative to the elements = -0.503 eV per atom
crystal system = cubic


# 19
PmGdInBi | PBE | optimized geometry

Lattice parameters (Å, degrees): 7.784 7.784 7.784 90.00 90.00 90.00
Space group F-43m (No. 216)
Inequivalent atoms, fractional coordinates:
Pm  0.000  0.000  0.000 [4 per cell]
Gd  0.000  0.000  0.500 [4 per cell]
In  0.250  0.250  0.250 [4 per cell]
Bi  0.250  0.250  0.750 [4 per cell]

Summary:
magnetic moment = 29.76 μB/cell
energy relative to the elements = -0.500 eV per atom
crystal system = cubic


# 20
SrGdInBi | PBE | optimized geometry

Lattice parameters (Å, degrees): 7.976 7.976 7.976 90.00 90.00 90.00
Space group F-43m (No. 216)
Inequivalent atoms, fractional coordinates:
Sr  0.000  0.000  0.000 [4 per cell]
Gd  0.000  0.000  0.500 [4 per cell]
In  0.250  0.250  0.750 [4 per cell]
Bi  0.250  0.250  0.250 [4 per cell]

Summary:
magnetic moment = 29.19 μB/cell
energy relative to the elements = -0.486 eV per atom
crystal system = cubic


Number 1: density of states at the Fermi level 5.290 states/eV/f.u.. Number 2: density of states at the Fermi level 10.725 states/eV/f.u.. Number 3: density of states at the Fermi level 5.310 states/eV/f.u.. Number 4: density of states at the Fermi level 4.759 states/eV/f.u.. Number 5: density of states at the Fermi level 2.434 states/eV/f.u.. Number 6: density of states at the Fermi level 2.995 states/eV/f.u.. Number 7: density of states at the Fermi level 3.579 states/eV/f.u.. Number 8: density of states at the Fermi level 2.828 states/eV/f.u.. Number 9: density of states at the Fermi level 5.298 states/eV/f.u.. Number 10: density of states at the Fermi level 2.382 states/eV/f.u.. Number 11: density of states at the Fermi level 3.490 states/eV/f.u.. Number 12: density of states at the Fermi level 2.888 states/eV/f.u.. Number 13: density of states at the Fermi level 6.495 states/eV/f.u.. Number 14: density of states at the Fermi level 4.318 states/eV/f.u.. Number 15: density of states at the Fermi level 2.948 states/eV/f.u.. Number 16: density of states at the Fermi level 3.159 states/eV/f.u.. Number 17: density of states at the Fermi level 3.539 states/eV/f.u.. Number 18: density of states at the Fermi level 5.033 states/eV/f.u.. Number 19: density of states at the Fermi level 4.958 states/eV/f.u.. Number 20: density of states at the Fermi level 4.386 states/eV/f.u..